--- a ---
The following is a PBE calculation of a relaxed structure of ZrAlRu3, from Alexandria.

Lattice parameters (Å, degrees): 4.4143 4.4143 4.4143 90.00 90.00 90.00
With the nearest neighbours (Å) after each atom.
Space group Pm-3m (No. 221)
One atom of each set of equivalent atoms:
Zr  0.0000  0.0000  0.0000 x1  12 Ru 3.12
Al  0.5000  0.5000  0.5000 x1  6 Ru 2.21
Ru  0.0000  0.5000  0.5000 x3  2 Al 2.21

Calculated values
As for the spin magnetization: 0.000 μB/atom. Its crystal system is cubic.



--- b ---
The following is a PBE calculation of a relaxed structure of ZrAlRu3, from Alexandria.

Lattice parameters (Å, degrees): 4.7652 4.7652 4.7652 90.00 90.00 90.00
With the nearest neighbours (Å) after each atom.
Space group Pm-3m (No. 221)
One atom of each set of equivalent atoms:
Zr  0.0000  0.0000  0.0000 x1  6 Ru 2.38
Al  0.5000  0.5000  0.5000 x1  12 Ru 3.37
Ru  0.0000  0.0000  0.5000 x3  2 Zr 2.38

Calculated values
As for the spin magnetization: 0.582 μB/atom. Its crystal system is cubic.



The least stable of the structures above is b, whereas a is the most stable.